Compound: Cs3KCr2F9
Source: Alexandria
Functional: PBE+U
Structure: optimized geometry

Properties
For the volume, the calculation gives 18.085 Å³ per atom. Its density is 4.363 g cm⁻³. Its energy is -0.1877 Ha/atom.

Lattice parameters (Å, degrees): 6.311 6.311 7.864 90.00 90.00 120.00
Each line ends with the local moment (μB).
Atoms (fractional coordinates):
Cr (0.333, 0.667, 0.146)  3.42
Cr (0.667, 0.333, 0.854)  3.42
F (0.500, 0.000, 0.000)  -0.01
F (0.815, 0.629, 0.705)  -0.01
F (0.185, 0.371, 0.295)  -0.01
F (0.185, 0.815, 0.295)  -0.01
F (0.815, 0.185, 0.705)  -0.01
F (0.500, 0.500, 0.000)  -0.01
F (0.000, 0.500, 0.000)  -0.01
F (0.629, 0.815, 0.295)  -0.01
F (0.371, 0.185, 0.705)  -0.01
Cs (0.667, 0.333, 0.344)  0.00
Cs (0.333, 0.667, 0.656)  0.00
Cs (0.000, 0.000, 0.000)  0.00
K (0.000, 0.000, 0.500)  0.00